The following is a GGA-PBE calculation of a relaxed structure of Tb9Pm2Sm, from Alexandria.

Results
* formation enthalpy at 0 K: 0.05 eV per atom
* theoretical density: 7.957 Mg/m³
* magnetic moment: 0.00 μB/cell
* energy: -55.3 eV/cell
* E above lowest polymorph: 3.4 kJ/mol of atoms

Lattice parameters (Å, degrees): 11.3252 11.3252 3.5144 90.00 90.00 120.00
Space group P6/mmm (No. 191)
Unique sites:
1 Tb 0.0000 0.5000 0.0000
2 Tb 0.1748 0.3495 0.5000
3 Pm 0.3333 0.6667 0.0000
4 Sm 0.0000 0.0000 0.0000

---

The following is a GGA-PBE calculation of a relaxed structure of Na3Ho3ZrSe8, from Alexandria.

Results
* theoretical density: 5.262 Mg/m³
* uncorrected formation energy: -1.63 eV/atom
* magnetic moment: 0.00 μB/cell
* energy: -235.5 eV/cell

Lattice parameters (Å, degrees): 8.1354 8.1354 21.2523 90.00 90.00 120.00
Space group R-3m (No. 166, hexagonal axes)
Unique sites:
1 Na 0.0000 0.5000 0.0000
2 Ho 0.0000 0.5000 0.5000
3 Zr 0.0000 0.0000 0.5000
4 Se 0.0000 0.0000 0.2430
5 Se 0.0128 0.5064 0.2402

---

The following is a GGA-PBE calculation of a relaxed structure of PrHoMnZn, from Alexandria.

Results
* formation enthalpy at 0 K: 0.00 eV per atom
* theoretical density: 7.475 Mg/m³
* magnetic moment: 12.13 μB/cell
* energy: -79.3 eV/cell

Lattice parameters (Å, degrees): 7.235 7.235 7.235 90.00 90.00 90.00
Space group F-43m (No. 216)
Unique sites:
1 Pr 0.000 0.000 0.000
2 Ho 0.000 0.000 0.500
3 Mn 0.250 0.250 0.250
4 Zn 0.250 0.250 0.750

---

The following is a GGA-PBE calculation of a relaxed structure of LaSn3Rh2, from Alexandria.

Results
* formation enthalpy at 0 K: -0.63 eV per atom
* theoretical density: 8.626 Mg/m³
* magnetic moment: 0.00 μB/cell
* energy: -212.4 eV/cell
* E above lowest polymorph: 0.0 kJ/mol of atoms

Lattice parameters (Å, degrees): 17.657 4.433 10.763 90.00 106.08 90.00
Space group C2/m (No. 12)
Unique sites:
1 La 0.000 0.000 0.000
2 La 0.152 0.000 0.697
3 Sn 0.000 0.500 0.500
4 Sn 0.047 0.000 0.348
5 Sn 0.132 0.500 0.185
6 Sn 0.158 0.500 0.933
7 Sn 0.224 0.000 0.378
8 Rh 0.013 0.500 0.771
9 Rh 0.141 0.500 0.440
10 Rh 0.200 0.000 0.107

---

The following is a GGA-PBE calculation of a relaxed structure of SrZrHg2, from Alexandria.

Results
* formation enthalpy at 0 K: -0.02 eV per atom
* theoretical density: 8.621 Mg/m³
* magnetic moment: 1.01 μB/cell
* energy: -10.9 eV/cell

Lattice parameters (Å, degrees): 3.672 4.571 6.657 90.00 90.00 90.00
Space group Pmm2 (No. 25)
Unique sites:
1 Sr 0.000 0.000 0.000
2 Zr 0.500 0.500 0.357
3 Hg 0.000 0.000 0.486
4 Hg 0.500 0.500 0.792

---

The following is a GGA-PBE calculation of a relaxed structure of Tb8PrSm2, from Alexandria.

Results
* formation enthalpy at 0 K: 0.15 eV per atom
* theoretical density: 7.571 Mg/m³
* magnetic moment: 0.00 μB/cell
* energy: -99.2 eV/cell
* E above lowest polymorph: 3.9 kJ/mol of atoms

Lattice parameters (Å, degrees): 19.140 7.037 5.587 90.00 92.97 90.00
Space group C2/m (No. 12)
Unique sites:
1 Tb 0.046 0.000 0.238
2 Tb 0.132 0.233 0.733
3 Tb 0.188 0.500 0.233
4 Pr 0.000 0.500 0.000
5 Sm 0.216 0.000 0.253

---

The following is a GGA-PBE calculation of a relaxed structure of PPdNF2, from Alexandria.

Results
* theoretical density: 5.110 Mg/m³
* uncorrected formation energy: -0.11 eV/atom
* magnetic moment: 0.68 μB/cell
* energy: -23.2 eV/cell
* E above lowest polymorph: 0.0 kJ/mol of atoms

Lattice parameters (Å, degrees): 4.362 4.362 3.235 90.00 90.00 90.00
Space group P4/mmm (No. 123)
Unique sites:
1 P 0.000 0.000 0.000
2 Pd 0.500 0.500 0.500
3 N 0.000 0.000 0.500
4 F 0.000 0.500 0.000

---

The following is a GGA-PBE calculation of a relaxed structure of Rb2MgH12Se2O14, from Alexandria.

Results
* theoretical density: 2.584 Mg/m³
* magnetic moment: 0.67 μB/cell
* energy: -316.5 eV/cell

Lattice parameters (Å, degrees): 6.463 12.801 9.457 90.00 104.53 90.00
Space group P2_1/c (No. 14)
Unique sites:
1 Rb 0.162 0.155 0.369
2 Mg 0.500 0.000 0.000
3 H 0.170 0.560 0.605
4 H 0.175 0.638 0.476
5 H 0.182 0.089 0.791
6 H 0.405 0.126 0.761
7 H 0.424 0.597 0.233
8 H 0.494 0.685 0.353
9 Se 0.230 0.641 0.903
10 O 0.072 0.744 0.910
11 O 0.098 0.563 0.768
12 O 0.218 0.567 0.514
13 O 0.270 0.574 0.059
14 O 0.333 0.107 0.839
15 O 0.463 0.681 0.873
16 O 0.483 0.110 0.168

---

The following is a GGA-PBE calculation of a relaxed structure of Al2P3H3O9, from Alexandria.

Results
* theoretical density: 2.449 Mg/m³
* magnetic moment: 0.00 μB/cell
* energy: -226.7 eV/cell

Lattice parameters (Å, degrees): 8.0039 8.0039 7.1828 90.00 90.00 120.00
Space group P6_3/m (No. 176)
Unique sites:
1 Al 0.3333 0.6667 0.0547
2 P 0.0494 0.6858 0.7500
3 H 0.0085 0.1753 0.2500
4 O 0.1394 0.5155 0.2500
5 O 0.1629 0.7160 0.5712

---

The following is a GGA-PBE calculation of a relaxed structure of SnPb3O, from Alexandria.

Results
* theoretical density: 9.498 Mg/m³
* uncorrected formation energy: -0.29 eV/atom
* magnetic moment: 0.00 μB/cell
* energy: -21.6 eV/cell
* E above lowest polymorph: 0.0 kJ/mol of atoms

Lattice parameters (Å, degrees): 5.095 5.095 5.095 90.00 90.00 90.00
Space group Pm-3m (No. 221)
Unique sites:
1 Sn 0.000 0.000 0.000
2 Pb 0.000 0.500 0.500
3 O 0.500 0.500 0.500

---

The following is a GGA-PBE calculation of a relaxed structure of Sb2SeBr, from Alexandria.

Results
* theoretical density: 5.692 Mg/m³
* uncorrected formation energy: 0.13 eV/atom
* magnetic moment: 0.00 μB/cell
* energy: -25.8 eV/cell
* E above lowest polymorph: 26.1 kJ/mol of atoms

Lattice parameters (Å, degrees): 3.561 6.315 10.442 90.00 90.00 90.00
Space group Cmm2 (No. 35)
Unique sites:
1 Sb 0.000 0.000 0.000
2 Sb 0.000 0.500 0.294
3 Se 0.000 0.500 0.815
4 Br 0.000 0.000 0.508

---

The following is a GGA-PBE calculation of a relaxed structure of YHo2Ni, from Alexandria.

Results
* formation enthalpy at 0 K: -0.17 eV per atom
* theoretical density: 7.779 Mg/m³
* magnetic moment: 0.00 μB/cell
* energy: -22.1 eV/cell
* E above lowest polymorph: 7.6 kJ/mol of atoms

Lattice parameters (Å, degrees): 3.429 3.429 8.669 90.00 90.00 90.00
Space group P4/mmm (No. 123)
Unique sites:
1 Y 0.000 0.000 0.000
2 Ho 0.500 0.500 0.314
3 Ni 0.000 0.000 0.500

---

The following is a GGA-PBE calculation of a relaxed structure of MnMo2Pt, from Alexandria.

Results
* formation enthalpy at 0 K: 0.25 eV per atom
* theoretical density: 12.102 Mg/m³
* magnetic moment: 5.31 μB/cell
* energy: -143.5 eV/cell
* E above lowest polymorph: 35.8 kJ/mol of atoms

Lattice parameters (Å, degrees): 6.236 6.236 6.236 90.00 90.00 90.00
Space group Fm-3m (No. 225)
Unique sites:
1 Mn 0.000 0.000 0.000
2 Mo 0.250 0.250 0.250
3 Pt 0.000 0.000 0.500

---

The following is a GGA-PBE calculation of a relaxed structure of RbAlPt3, from Alexandria.

Results
* formation enthalpy at 0 K: 2.06 eV per atom
* theoretical density: 8.719 Mg/m³
* magnetic moment: 0.00 μB/cell
* energy: -12.5 eV/cell
* E above lowest polymorph: 185.8 kJ/mol of atoms

Lattice parameters (Å, degrees): 5.103 5.103 5.103 90.00 90.00 90.00
Space group Pm-3m (No. 221)
Unique sites:
1 Rb 0.000 0.000 0.000
2 Al 0.500 0.500 0.500
3 Pt 0.000 0.000 0.500

---

The following is a GGA-PBE calculation of a relaxed structure of CuAg2I2F2, from Alexandria.

Results
* theoretical density: 6.325 Mg/m³
* uncorrected formation energy: -0.65 eV/atom
* magnetic moment: 1.56 μB/cell
* energy: -42.4 eV/cell

Lattice parameters (Å, degrees): 12.124 3.874 8.181 90.00 128.70 90.00
Space group C2/m (No. 12)
Unique sites:
1 Cu 0.000 0.000 0.000
2 Ag 0.143 0.000 0.698
3 I 0.043 0.500 0.299
4 F 0.197 0.000 0.139

---

The following is a GGA-PBE calculation of a relaxed structure of SrMgRe2, from Alexandria.

Results
* formation enthalpy at 0 K: 0.73 eV per atom
* theoretical density: 10.207 Mg/m³
* magnetic moment: 0.00 μB/cell
* energy: -50.5 eV/cell

Lattice parameters (Å, degrees): 3.285 4.741 10.121 90.00 90.00 90.00
Space group Cmm2 (No. 35)
Unique sites:
1 Sr 0.000 0.000 0.000
2 Mg 0.000 0.500 0.314
3 Re 0.000 0.000 0.542
4 Re 0.000 0.500 0.738

---

The following is a GGA-PBE calculation of a relaxed structure of Ta3VS4, from Alexandria.

Results
* theoretical density: 8.577 Mg/m³
* uncorrected formation energy: -0.65 eV/atom
* magnetic moment: 0.03 μB/cell
* energy: -132.8 eV/cell

Lattice parameters (Å, degrees): 6.431 6.786 6.406 90.00 90.00 90.00
Space group Pmn2_1 (No. 31)
Unique sites:
1 Ta 0.000 0.238 0.000
2 Ta 0.243 0.621 0.866
3 V 0.000 0.767 0.499
4 S 0.000 0.106 0.358
5 S 0.000 0.897 0.835
6 S 0.239 0.711 0.238

---

The following is a GGA-PBE calculation of a relaxed structure of Zn3P, from Alexandria.

Results
* formation enthalpy at 0 K: 0.19 eV per atom
* theoretical density: 6.094 Mg/m³
* magnetic moment: 0.00 μB/cell
* energy: -17.0 eV/cell
* E above lowest polymorph: 14.4 kJ/mol of atoms

Lattice parameters (Å, degrees): 3.823 3.823 8.470 90.00 90.00 90.00
Space group I4/mmm (No. 139)
Unique sites:
1 Zn 0.000 0.000 0.000
2 Zn 0.000 0.500 0.250
3 P 0.000 0.000 0.500

---

The following is a GGA-PBE calculation of a relaxed structure of Tb3Ho4Ag4, from Alexandria.

Results
* formation enthalpy at 0 K: -0.11 eV per atom
* theoretical density: 8.780 Mg/m³
* magnetic moment: 0.00 μB/cell
* energy: -89.6 eV/cell

Lattice parameters (Å, degrees): 5.025 7.476 15.787 90.00 90.00 90.00
Space group Immm (No. 71)
Unique sites:
1 Tb 0.000 0.000 0.000
2 Tb 0.000 0.500 0.105
3 Ho 0.000 0.278 0.324
4 Ag 0.000 0.000 0.196
5 Ag 0.000 0.188 0.500

---

The following is a GGA-PBE calculation of a relaxed structure of Ac3Zn2Ge2, from Alexandria.

Results
* formation enthalpy at 0 K: -0.58 eV per atom
* theoretical density: 8.082 Mg/m³
* magnetic moment: 0.00 μB/cell
* energy: -56.4 eV/cell
* E above lowest polymorph: 0.0 kJ/mol of atoms

Lattice parameters (Å, degrees): 4.366 4.631 19.452 90.00 90.00 90.00
Space group Immm (No. 71)
Unique sites:
1 Ac 0.000 0.000 0.000
2 Ac 0.000 0.500 0.315
3 Zn 0.000 0.000 0.436
4 Ge 0.000 0.500 0.139